Record 1
Material: Pr6SbAs3P2
Method: DFT, PBE
State: optimized geometry

Cell lengths 4.3121, 8.6489, 9.6440 Å; angles 102.79, 102.92, 90.00 degrees
Fractional positions:
Pr: 0.3280 0.9082 0.6559
Pr: 0.6691 0.5797 0.3382
Pr: 0.6720 0.0918 0.3441
Pr: 0.0029 0.2631 0.0057
Pr: 0.9971 0.7369 0.9943
Pr: 0.3309 0.4203 0.6618
Sb: 0.5000 0.0000 0.0000
As: 0.5000 0.5000 0.0000
As: 0.8349 0.1682 0.6698
As: 0.1651 0.8318 0.3302
P: 0.8320 0.6645 0.6640
P: 0.1680 0.3355 0.3360

**Electronic total energy**: -74.7 eV for the cell shown
**Raw formation energy**: -1.4309 eV/atom
**V**: 28.5 Å³/atom
**Calculated density**: 6.10 g/cm3



Record 2
Material: Pr4Sb2AsP
Method: DFT, PBE
State: optimized geometry

Cell lengths 4.3890, 7.6852, 7.5980 Å; angles 70.78, 90.00, 90.00 degrees
Fractional positions:
Pr: 0.0000 0.7321 0.7527
Pr: 0.0000 0.2679 0.2473
Pr: 0.5000 0.7300 0.2598
Pr: 0.5000 0.2700 0.7402
Sb: 0.0000 0.0000 0.0000
Sb: 0.5000 0.0000 0.5000
As: 0.5000 0.5000 0.0000
P: 0.0000 0.5000 0.5000

**Electronic total energy**: -48.0 eV for the cell shown
**Raw formation energy**: -1.3274 eV/atom
**V**: 30.3 Å³/atom
**Calculated density**: 6.27 g/cm3